Sr2PbAu3: optimized geometry, PBE-GGA.

Lattice parameters (Å, degrees): 4.5624 4.1813 9.6810 102.47 103.63 90.00
Last column: nearest neighbours and their distance in Å.
Atoms (fractional coordinates):
Pb1 0.4555 0.9555 0.9110  3 Au 2.82-2.98
Sr1 0.8522 0.3522 0.7044  6 Au 3.28-3.39, 4 Pb 3.63
Sr2 0.1340 0.1340 0.2679  10 Au 3.37-3.59
Au1 0.2932 0.7932 0.5863  2 Au 2.78, 1 Pb 2.98
Au2 0.5583 0.5583 0.1165  1 Au 2.73, 2 Pb 2.82
Au3 0.7069 0.7069 0.4138  3 Au 2.73-2.78

Calculated values
The calculation puts the formation energy at -0.600 eV per atom. The value obtained for the density is 9.24 g/cm3. The total magnetization comes out at 0.00 μB per cell. The space group is Imm2, No. 44. The calculation puts the distance to the lowest polymorph of the same formula at 0.020 eV per atom.

---

Er3Ga3Ru2: optimized geometry, PBE-GGA.

Lattice parameters (Å, degrees): 5.6957 7.5015 15.2373 90.00 90.00 90.00
Last column: nearest neighbours and their distance in Å.
Atoms (fractional coordinates):
Er1 0.6082 0.0372 0.6087  2 Ru 2.85-2.99, 5 Ga 3.06-3.18
Er2 0.6309 0.3298 0.2500  4 Ru 2.94-3.10, 5 Ga 2.97-3.29
Er3 0.1309 0.1702 0.7500  4 Ru 2.94-3.10, 5 Ga 2.97-3.29
Er4 0.8691 0.8298 0.2500  4 Ru 2.94-3.10, 5 Ga 2.97-3.29
Er5 0.1082 0.4628 0.3913  2 Ru 2.85-2.99, 5 Ga 3.06-3.18
Er6 0.8918 0.5372 0.6087  2 Ru 2.85-2.99, 5 Ga 3.06-3.18
Er7 0.3918 0.9628 0.3913  2 Ru 2.85-2.99, 5 Ga 3.06-3.18
Er8 0.3918 0.9628 0.1087  2 Ru 2.85-2.99, 5 Ga 3.06-3.18
Er9 0.6082 0.0372 0.8913  2 Ru 2.85-2.99, 5 Ga 3.06-3.18
Er10 0.1082 0.4628 0.1087  2 Ru 2.85-2.99, 5 Ga 3.06-3.18
Er11 0.3691 0.6702 0.7500  4 Ru 2.94-3.10, 5 Ga 2.97-3.29
Er12 0.8918 0.5372 0.8913  2 Ru 2.85-2.99, 5 Ga 3.06-3.18
Ga1 0.5892 0.3322 0.4652  3 Ru 2.48-2.56
Ga2 0.9108 0.8322 0.0348  3 Ru 2.48-2.56
Ga3 0.5892 0.3322 0.0348  3 Ru 2.48-2.56
Ga4 0.6269 0.3266 0.7500  2 Ru 2.62
Ga5 0.3731 0.6734 0.2500  2 Ru 2.62
Ga6 0.4108 0.6678 0.9652  3 Ru 2.48-2.56
Ga7 0.1269 0.1734 0.2500  2 Ru 2.62
Ga8 0.8731 0.8266 0.7500  2 Ru 2.62
Ga9 0.0892 0.1678 0.5348  3 Ru 2.48-2.56
Ga10 0.0892 0.1678 0.9652  3 Ru 2.48-2.56
Ga11 0.4108 0.6678 0.5348  3 Ru 2.48-2.56
Ga12 0.9108 0.8322 0.4652  3 Ru 2.48-2.56
Ru1 0.6321 0.6292 0.3900  4 Ga 2.48-2.62
Ru2 0.3679 0.3708 0.8900  4 Ga 2.48-2.62
Ru3 0.1321 0.8708 0.8900  4 Ga 2.48-2.62
Ru4 0.8679 0.1292 0.3900  4 Ga 2.48-2.62
Ru5 0.1321 0.8708 0.6100  4 Ga 2.48-2.62
Ru6 0.6321 0.6292 0.1100  4 Ga 2.48-2.62
Ru7 0.3679 0.3708 0.6100  4 Ga 2.48-2.62
Ru8 0.8679 0.1292 0.1100  4 Ga 2.48-2.62

Calculated values
The calculation puts the formation energy at -0.580 eV per atom. The value obtained for the density is 9.32 g/cm3. The total magnetization comes out at 0.00 μB per cell. The space group is Pnma, No. 62.

---

RbCaCdRh2: optimized geometry, PBE-GGA.

Lattice parameters (Å, degrees): 4.9691 5.2885 4.9691 90.00 90.00 90.00
Last column: nearest neighbours and their distance in Å.
Atoms (fractional coordinates):
Rh1 0.0000 0.0000 0.5000  2 Rb 2.48
Rh2 0.5000 0.0000 0.0000  2 Rb 2.48
Cd1 0.5000 0.5000 0.5000  4 Ca 3.51, 8 Rh 3.63
Ca1 0.0000 0.5000 0.0000  2 Rb 2.64
Rb1 0.0000 0.0000 0.0000  4 Rh 2.48, 2 Ca 2.64

Calculated values
The calculation puts the formation energy at 1.429 eV per atom. The value obtained for the density is 5.64 g/cm3. The total magnetization comes out at 0.00 μB per cell. The space group is P4/mmm, No. 123.